Record 1
The following is a DFT calculation (PBE) of Li2SnF after structural relaxation.

CIF file:
```
data_Li2SnF
_chemical_formula_sum 'Li8 Sn4 F4'
_cell_length_a 6.643
_cell_length_b 6.643
_cell_length_c 6.643
_cell_angle_alpha 90.00
_cell_angle_beta 90.00
_cell_angle_gamma 90.00
_space_group_name_H-M_alt 'P 1'
_space_group_IT_number 1
_space_group_name_Hall 'P 1'
loop_
_atom_site_label
_atom_site_fract_x
_atom_site_fract_y
_atom_site_fract_z
Li1 0.250 0.250 0.250
Li2 0.250 0.250 0.750
Li3 0.250 0.750 0.250
Li4 0.250 0.750 0.750
Li5 0.750 0.250 0.250
Li6 0.750 0.250 0.750
Li7 0.750 0.750 0.250
Li8 0.750 0.750 0.750
Sn1 0.000 0.000 0.000
Sn2 0.000 0.500 0.500
Sn3 0.500 0.000 0.500
Sn4 0.500 0.500 0.000
F1 0.000 0.000 0.500
F2 0.000 0.500 0.000
F3 0.500 0.000 0.000
F4 0.500 0.500 0.500
```

Excess energy over the best structure of this formula in the dataset: 85.7 kJ per mole of atoms
Space-group type: Fm-3m (225)
Calculated density: 3435 kg/m³
Formation energy (no corrections): -2.38 eV/f.u.
Volume: 18.3 Å³/atom

=====

Record 2
The following is a DFT calculation (PBE) of Li2SnF after structural relaxation.

CIF file:
```
data_Li2SnF
_chemical_formula_sum 'Li6 Sn3 F3'
_cell_length_a 3.172
_cell_length_b 3.172
_cell_length_c 21.297
_cell_angle_alpha 90.00
_cell_angle_beta 90.00
_cell_angle_gamma 120.00
_space_group_name_H-M_alt 'P 1'
_space_group_IT_number 1
_space_group_name_Hall 'P 1'
loop_
_atom_site_label
_atom_site_fract_x
_atom_site_fract_y
_atom_site_fract_z
Li1 0.000 0.000 0.219
Li2 0.000 0.000 0.781
Li3 0.333 0.667 0.447
Li4 0.333 0.667 0.886
Li5 0.667 0.333 0.114
Li6 0.667 0.333 0.553
Sn1 0.000 0.000 0.000
Sn2 0.333 0.667 0.667
Sn3 0.667 0.333 0.333
F1 0.000 0.000 0.500
F2 0.333 0.667 0.167
F3 0.667 0.333 0.833
```

Excess energy over the best structure of this formula in the dataset: 0.0 kJ per mole of atoms
Space-group type: R-3m (166)
Calculated density: 4070 kg/m³
Formation energy (no corrections): -5.94 eV/f.u.
Volume: 15.5 Å³/atom

=====

Record 3
The following is a DFT calculation (PBE) of SrLi2SnF8 after structural relaxation.

CIF file:
```
data_SrLi2SnF8
_chemical_formula_sum 'Sr1 Li2 Sn1 F8'
_cell_length_a 4.763
_cell_length_b 4.994
_cell_length_c 7.287
_cell_angle_alpha 84.00
_cell_angle_beta 85.16
_cell_angle_gamma 82.64
_space_group_name_H-M_alt 'P 1'
_space_group_IT_number 1
_space_group_name_Hall 'P 1'
loop_
_atom_site_label
_atom_site_fract_x
_atom_site_fract_y
_atom_site_fract_z
Sr1 0.000 0.000 0.000
Li1 0.464 0.464 0.207
Li2 0.536 0.536 0.793
Sn1 0.000 0.000 0.500
F1 0.196 0.783 0.715
F2 0.198 0.782 0.295
F3 0.288 0.253 0.459
F4 0.346 0.306 0.997
F5 0.654 0.694 0.003
F6 0.712 0.747 0.541
F7 0.802 0.218 0.705
F8 0.804 0.217 0.285
```

Space-group type: P-1 (2)
Calculated density: 3625 kg/m³
Formation energy (no corrections): -35.71 eV/f.u.
Volume: 14.2 Å³/atom

=====

Record 4
The following is a DFT calculation (PBE) of SrLi2SnF after structural relaxation.

CIF file:
```
data_SrLi2SnF
_chemical_formula_sum 'Sr1 Li2 Sn1 F1'
_cell_length_a 4.734
_cell_length_b 4.734
_cell_length_c 4.867
_cell_angle_alpha 90.00
_cell_angle_beta 90.00
_cell_angle_gamma 90.00
_space_group_name_H-M_alt 'P 1'
_space_group_IT_number 1
_space_group_name_Hall 'P 1'
loop_
_atom_site_label
_atom_site_fract_x
_atom_site_fract_y
_atom_site_fract_z
Sr1 0.000 0.000 0.000
Li1 0.000 0.500 0.500
Li2 0.500 0.000 0.500
Sn1 0.500 0.500 0.000
F1 0.000 0.000 0.500
```

Space-group type: P4/mmm (123)
Calculated density: 3643 kg/m³
Formation energy (no corrections): -6.54 eV/f.u.
Volume: 21.8 Å³/atom